# Sr3Sn7Au2

A geometry-optimized Sr3Sn7Au2 structure (PBE, Alexandria). Values from VASP.

Geometry as Quantum ESPRESSO input:
```
&SYSTEM
  ibrav = 0, nat = 12, ntyp = 3
/
ATOMIC_SPECIES
Sr 87.62 Sr.upf
Sn 118.71 Sn.upf
Au 196.97 Au.upf
ATOMIC_POSITIONS angstrom
Sr 2.4017 2.3727 -0.3951
Sr 0.0000 0.8804 5.3010
Sr 0.0000 3.9336 9.0387
Sn 2.4017 3.4681 6.2210
Sn 2.4017 1.3459 8.1187
Sn 0.0000 2.8104 2.0565
Sn 0.0000 0.0000 0.0000
Sn 0.0000 2.0036 12.2832
Sn 2.4017 4.4098 11.8711
Sn 2.4017 0.4043 2.4685
Au 2.4017 3.0189 3.5702
Au 2.4017 1.7951 10.7694
CELL_PARAMETERS angstrom
4.8033 0.0000 0.0000
0.0000 4.7455 -0.7902
0.0000 0.0686 15.1298
```

Calculated values
Uncorrected energy in eV per atom: -3.783
V in A^3/atom: 28.76
Magnetic moment in μB/atom: 0.000
Mass density in g/cm3: 7.16